Record 1
Compound: Ca2LaNdHg4
Source: Alexandria
Functional: PBE
Structure: optimized geometry

M_tot, μB per cell: 0.0
Energy of formation from the pure elements, meV/atom: -552
Space group: R-3m (166)

abc: 5.4176 5.4176 9.3761
angles: 73.21 73.21 60.00
Atoms (fractional coordinates):
Hg1 0.6236 0.6236 0.1293
Hg2 0.8743 0.8743 0.3771
Hg3 0.3764 0.3764 0.8707
Hg4 0.1257 0.1257 0.6229
La1 0.0000 0.0000 0.0000
Ca1 0.2494 0.2494 0.2518
Ca2 0.7506 0.7506 0.7482
Nd1 0.5000 0.5000 0.5000

---

Record 2
Compound: Na2AuBr4
Source: Alexandria
Functional: PBE
Structure: optimized geometry

Distance to the lowest polymorph of the same formula, meV/atom: 6
M_tot, μB per cell: 0.0
Space group: I4/mmm (139)

abc: 7.2900 7.2900 6.5093
angles: 124.05 124.05 90.00
Atoms (fractional coordinates):
Na1 0.2500 0.7500 0.5000
Na2 0.7500 0.2500 0.5000
Br1 0.2489 0.7506 0.9996
Br2 0.7511 0.7511 0.0004
Br3 0.7506 0.2489 0.9996
Br4 0.2494 0.2494 0.0004
Au1 0.5000 0.5000 0.0000

---

Record 3
Compound: MnCd2Te
Source: Alexandria
Functional: PBE
Structure: optimized geometry

M_tot, μB per cell: 3.6
Space group: P4/mmm (123)

abc: 3.1320 3.1320 9.4387
angles: 90.00 90.00 90.06
Site moments in Bohr magnetons follow the coordinates.
Atoms (fractional coordinates):
Cd1 0.0000 0.0000 0.4457  -0.04
Cd2 0.0000 0.0000 0.0543  -0.04
Mn1 0.5000 0.5000 0.2500  3.52
Te1 0.5000 0.5000 0.7500  0.01

---

Record 4
Compound: Mg5Bi
Source: Alexandria
Functional: PBE
Structure: optimized geometry

M_tot, μB per cell: 0.0
Energy of formation from the pure elements, meV/atom: -27
Space group: P-62m (189)

abc: 5.2123 5.6979 5.6979
angles: 120.01 90.00 90.00
Atoms (fractional coordinates):
Mg1 0.0000 0.9832 0.9832
Mg2 0.0000 0.3332 0.6833
Mg3 0.5000 0.6667 0.0001
Mg4 0.0000 0.6833 0.3332
Mg5 0.5000 0.0001 0.6667
Bi1 0.5000 0.3334 0.3334

---

Record 5
Compound: Pr5Hg2N2
Source: Alexandria
Functional: PBE
Structure: optimized geometry

M_tot, μB per cell: 0.0
Space group: Ima2 (46)

abc: 7.3626 7.1317 10.7893
angles: 109.30 109.95 90.00
Atoms (fractional coordinates):
Pr1 0.5936 0.6147 0.2780
Pr2 0.1844 0.1147 0.2780
Pr3 0.4064 0.3367 0.7220
Pr4 0.7651 0.2535 0.0221
Pr5 0.8156 0.8367 0.7220
Pr6 0.1149 0.6226 0.5000
Pr7 0.8851 0.1226 0.5000
Pr8 0.2430 0.7314 0.9779
Pr9 0.2349 0.2314 0.9779
Pr10 0.7570 0.7535 0.0221
N1 0.1689 0.2880 0.5000
N2 0.8311 0.7880 0.5000
N3 0.5000 0.4914 0.0000
N4 0.0000 0.9914 0.0000
Hg1 0.5885 0.1045 0.2113
Hg2 0.8772 0.3932 0.7887
Hg3 0.1228 0.6045 0.2113
Hg4 0.4115 0.8932 0.7887

---

Record 6
Compound: Ca8Hg2Pt3
Source: Alexandria
Functional: PBE
Structure: optimized geometry

M_tot, μB per cell: 0.0
Energy of formation from the pure elements, meV/atom: -618
Space group: P2/m (10)

abc: 5.0779 10.2139 8.9095
angles: 124.84 90.00 90.00
Atoms (fractional coordinates):
Hg1 0.5000 0.2523 0.5048
Hg2 0.5000 0.7477 0.4952
Ca1 0.5000 0.8691 0.2297
Ca2 0.5000 0.6396 0.7700
Ca3 0.0000 0.6149 0.2304
Ca4 0.5000 0.1309 0.7703
Ca5 0.0000 0.3851 0.7696
Ca6 0.5000 0.3604 0.2300
Ca7 0.0000 0.8867 0.7726
Ca8 0.0000 0.1133 0.2274
Pt1 0.0000 0.2555 0.0002
Pt2 0.5000 0.0000 0.0000
Pt3 0.0000 0.7445 0.9998

---

Record 7
Compound: Os2RuRh
Source: Alexandria
Functional: PBE
Structure: optimized geometry

Distance to the lowest polymorph of the same formula, meV/atom: 22
M_tot, μB per cell: 0.0
Energy of formation from the pure elements, meV/atom: 107
Space group: Pmmm (47)

abc: 3.8658 2.7076 6.0593
angles: 63.44 90.00 90.00
Atoms (fractional coordinates):
Rh1 0.5000 0.2500 0.2500
Os1 0.0000 0.0037 0.9961
Os2 0.0000 0.4963 0.5039
Ru1 0.5000 0.7500 0.7500

---

Record 8
Compound: ScMn
Source: Alexandria
Functional: PBE
Structure: optimized geometry

M_tot, μB per cell: 0.0
Energy of formation from the pure elements, meV/atom: 320
Space group: I4/mmm (139)

abc: 9.5583 9.5583 3.5360
angles: 90.00 90.00 90.00
Atoms (fractional coordinates):
Sc1 0.7996 0.5000 0.0000
Sc2 0.0000 0.2996 0.5000
Sc3 0.7004 0.0000 0.5000
Sc4 0.5000 0.2004 0.0000
Sc5 0.2996 0.0000 0.5000
Sc6 0.2004 0.5000 0.0000
Sc7 0.0000 0.7004 0.5000
Sc8 0.5000 0.7996 0.0000
Mn1 0.7070 0.2930 0.5000
Mn2 0.7930 0.2070 0.0000
Mn3 0.2070 0.2070 0.0000
Mn4 0.2070 0.7930 0.0000
Mn5 0.7930 0.7930 0.0000
Mn6 0.2930 0.7070 0.5000
Mn7 0.2930 0.2930 0.5000
Mn8 0.7070 0.7070 0.5000

---

| no. | density of states at the Fermi level (states/eV/f.u.) | theoretical density (Mg/m³) | DFT total energy (eV per atom) |
| --- | --- | --- | --- |
| 1 | 7.0 | 8.6 | -2.416 |
| 2 | 2.4 | 4.4 | -2.693 |
| 3 | 3.6 | 7.3 | -3.279 |
| 4 | 3.0 | 3.7 | -2.003 |
| 5 | 6.1 | 7.6 | -5.299 |
| 6 | 8.1 | 5.7 | -3.290 |
| 7 | 4.0 | 17.1 | -9.665 |
| 8 | 2.6 | 4.1 | -7.430 |